# SrTi2Sn2, relaxed, DFT PBE
data_SrTi2Sn2
_chemical_formula_sum 'Sr2 Ti4 Sn4'
_cell_length_a 8.560
_cell_length_b 8.560
_cell_length_c 3.134
_cell_angle_alpha 90.00
_cell_angle_beta 90.00
_cell_angle_gamma 90.00
_space_group_name_H-M_alt 'P 1'
_space_group_IT_number 1
_space_group_name_Hall 'P 1'
loop_
_atom_site_label
_atom_site_type_symbol
_atom_site_fract_x
_atom_site_fract_y
_atom_site_fract_z
Sr1 Sr 0.000 0.000 0.000
Sr2 Sr 0.500 0.500 0.000
Ti1 Ti 0.112 0.388 0.000
Ti2 Ti 0.388 0.888 0.000
Ti3 Ti 0.612 0.112 0.000
Ti4 Ti 0.888 0.612 0.000
Sn1 Sn 0.176 0.676 0.500
Sn2 Sn 0.324 0.176 0.500
Sn3 Sn 0.676 0.824 0.500
Sn4 Sn 0.824 0.324 0.500
# energy of formation = -0.225 eV/atom
# excess energy over the best structure of this formula in the dataset = 7.5 kJ per mole of atoms

---

# Sc8HCN4, relaxed, DFT PBE
data_Sc8HCN4
_chemical_formula_sum 'Sc8 H1 C1 N4'
_cell_length_a 6.618
_cell_length_b 6.618
_cell_length_c 6.618
_cell_angle_alpha 58.84
_cell_angle_beta 58.84
_cell_angle_gamma 58.84
_space_group_name_H-M_alt 'P 1'
_space_group_IT_number 1
_space_group_name_Hall 'P 1'
loop_
_atom_site_label
_atom_site_type_symbol
_atom_site_fract_x
_atom_site_fract_y
_atom_site_fract_z
Sc1 Sc 0.000 0.000 0.000
Sc2 Sc 0.012 0.486 0.486
Sc3 Sc 0.475 0.993 0.993
Sc4 Sc 0.480 0.480 0.480
Sc5 Sc 0.486 0.012 0.486
Sc6 Sc 0.486 0.486 0.012
Sc7 Sc 0.993 0.475 0.993
Sc8 Sc 0.993 0.993 0.475
H1 H 0.608 0.608 0.608
C1 C 0.242 0.242 0.242
N1 N 0.245 0.245 0.733
N2 N 0.245 0.733 0.245
N3 N 0.733 0.245 0.245
N4 N 0.875 0.875 0.875
# calculated total energy = -112.324 eV/cell

---

What is the formula in the first record? SrTi2Sn2